Compound: DyGa2Pt3
Source: the Alexandria database
Functional: PBE
Structure: relaxed

Structure (POSCAR):
```
DyGa2Pt3
1.0
-2.577 -3.032 0.273
1.835 -1.261 3.309
-4.515 6.699 2.653
Dy Ga Pt
1 2 3
direct
0.000 0.000 0.000
0.653 0.653 0.306
0.347 0.347 0.694
0.750 0.250 0.500
0.500 0.500 0.000
0.250 0.750 0.500
```

Results
**Magnetization**: 0.000 μB per atom
**DFT formation energy**: -70 kJ/mol of atoms
**N(E_F)**: 1.27 states/eV/cell
**E_tot**: -33.12 eV/f.u.